(1)
First-principles (GGA-PBE) data for HoTl3Cr2Se6 after structural relaxation, as listed in Alexandria via LeMat-Bulk.

- E_tot (eV/atom) = -5.066
- uncorrected formation energy (eV per formula unit) = -9.0

```
HoTl3Cr2Se6
1.0
3.395 -5.854 0.000
3.395 5.854 0.000
-2.272 0.000 7.684
Ho Tl Cr Se
1 3 2 6
direct
0.000 0.000 0.000
0.156 0.844 0.500
0.500 0.500 0.500
0.844 0.156 0.500
0.333 0.667 0.000
0.667 0.333 0.000
0.064 0.425 0.191
0.301 0.301 0.818
0.425 0.064 0.191
0.575 0.936 0.809
0.699 0.699 0.182
0.936 0.575 0.809
```

=====

(2)
First-principles (GGA-PBE) data for MgScI2 after structural relaxation, as listed in Alexandria via LeMat-Bulk.

- E_tot (eV/atom) = -3.162
- uncorrected formation energy (eV per formula unit) = -1.6

```
MgScI2
1.0
-5.139 5.139 3.119
5.139 -5.139 3.119
5.139 5.139 -3.119
Mg Sc I
2 2 4
direct
0.000 0.000 0.000
0.750 0.250 0.500
0.250 0.750 0.500
0.500 0.500 0.000
0.267 0.625 0.142
0.375 0.517 0.642
0.483 0.125 0.858
0.875 0.733 0.358
```

=====

(3)
First-principles (GGA-PBE) data for Sc2SbSCl after structural relaxation, as listed in Alexandria via LeMat-Bulk.

- E_tot (eV/atom) = -4.741
- uncorrected formation energy (eV per formula unit) = -0.9

```
Sc2SbSCl
1.0
5.019 0.000 0.000
0.000 5.019 0.000
0.000 0.000 4.536
Sc Sb S Cl
2 1 1 1
direct
0.000 0.500 0.000
0.500 0.000 0.000
0.000 0.000 0.500
0.500 0.500 0.500
0.500 0.500 0.000
```

=====

| no. | N(E_F) (states/eV/cell) |
| --- | --- |
| 1 | 1.19 |
| 2 | 8.75 |
| 3 | 2.89 |